A plane-wave DFT calculation with PBE was carried out for a relaxed structure of NaTlBrCl.

Unit cell a=4.2932 b=4.2932 c=22.7740 alpha=90.00 beta=90.00 gamma=120.00
Space group R3m (No. 160, hexagonal axes)
Inequivalent atoms, fractional coordinates:
Na1 0.0000 0.0000 0.0000 (multiplicity 3)
Tl1 0.0000 0.0000 0.1754 (multiplicity 3)
Br1 0.0000 0.0000 0.4121 (multiplicity 3)
Cl1 0.0000 0.0000 0.6025 (multiplicity 3)

final energy	-37.0	eV/cell
formation energy (no corrections)	-1.28	eV per atom
energy relative to the lowest polymorph listed for this composition	0.0	meV/atom
Fermi-level density of states	0.00	states/eV/atom
total moment	0.00	μB/f.u.

A plane-wave DFT calculation with PBE was carried out for a relaxed structure of Na2Tl3Br3Cl2.

Unit cell a=4.8877 b=4.8877 c=30.4875 alpha=90.00 beta=90.00 gamma=90.00
Space group I4/mmm (No. 139)
Inequivalent atoms, fractional coordinates:
Na1 0.0000 0.5000 0.2500 (multiplicity 4)
Tl1 0.0000 0.0000 0.0000 (multiplicity 2)
Tl2 0.0000 0.0000 0.3934 (multiplicity 4)
Br1 0.0000 0.0000 0.1108 (multiplicity 4)
Br2 0.0000 0.0000 0.5000 (multiplicity 2)
Cl1 0.0000 0.0000 0.2841 (multiplicity 4)

final energy	-60.4	eV/cell
formation energy (no corrections)	-1.17	eV per atom
Fermi-level density of states	0.00	states/eV/atom
total moment	0.00	μB/f.u.

A plane-wave DFT calculation with PBE was carried out for a relaxed structure of Na3UBr2Cl6.

Unit cell a=14.9957 b=8.3906 c=6.2944 alpha=90.00 beta=96.87 gamma=90.00
Space group C2/m (No. 12)
Inequivalent atoms, fractional coordinates:
Na1 0.0000 0.0000 0.0000 (multiplicity 2)
Na2 0.2500 0.2500 0.5000 (multiplicity 4)
U1 0.0000 0.5000 0.5000 (multiplicity 2)
Br1 0.1669 0.0000 0.2512 (multiplicity 4)
Cl1 0.0790 0.2849 0.7356 (multiplicity 8)
Cl2 0.1312 0.5000 0.2768 (multiplicity 4)

final energy	-97.9	eV/cell
formation energy (no corrections)	-1.61	eV per atom
total moment	0.99	μB/f.u.

A plane-wave DFT calculation with PBE was carried out for a relaxed structure of NaVBr2Cl.

Unit cell a=5.3302 b=5.3302 c=4.9057 alpha=90.00 beta=90.00 gamma=90.00
Space group P4/mmm (No. 123)
Inequivalent atoms, fractional coordinates:
Na1 0.0000 0.0000 0.0000 (multiplicity 1)
V1 0.5000 0.5000 0.5000 (multiplicity 1)
Br1 0.0000 0.5000 0.0000 (multiplicity 2)
Cl1 0.0000 0.0000 0.5000 (multiplicity 1)

final energy	-16.4	eV/cell
formation energy (no corrections)	-0.15	eV per atom
Fermi-level density of states	1.22	states/eV/atom
total moment	3.00	μB/f.u.

A plane-wave DFT calculation with PBE was carried out for a relaxed structure of Na3WBr2Cl6.

Unit cell a=14.5733 b=8.2324 c=5.9818 alpha=90.00 beta=93.70 gamma=90.00
Space group C2/m (No. 12)
Inequivalent atoms, fractional coordinates:
Na1 0.0000 0.0000 0.0000 (multiplicity 2)
Na2 0.2500 0.2500 0.5000 (multiplicity 4)
W1 0.0000 0.5000 0.5000 (multiplicity 2)
Br1 0.1719 0.0000 0.2296 (multiplicity 4)
Cl1 0.0710 0.2984 0.7279 (multiplicity 8)
Cl2 0.1274 0.5000 0.2748 (multiplicity 4)

final energy	-91.2	eV/cell
formation energy (no corrections)	-1.19	eV per atom
Fermi-level density of states	0.53	states/eV/atom
total moment	1.00	μB/f.u.

A plane-wave DFT calculation with PBE was carried out for a relaxed structure of NaYBr2Cl.

Unit cell a=5.6634 b=5.6634 c=5.2938 alpha=90.00 beta=90.00 gamma=90.00
Space group P4/mmm (No. 123)
Inequivalent atoms, fractional coordinates:
Na1 0.0000 0.0000 0.0000 (multiplicity 1)
Y1 0.5000 0.5000 0.5000 (multiplicity 1)
Br1 0.0000 0.5000 0.5000 (multiplicity 2)
Cl1 0.5000 0.5000 0.0000 (multiplicity 1)

final energy	-20.3	eV/cell
formation energy (no corrections)	-1.47	eV per atom
Fermi-level density of states	0.56	states/eV/atom
total moment	0.43	μB/f.u.

A plane-wave DFT calculation with PBE was carried out for a relaxed structure of Nb2BrCl8.

Unit cell a=8.3943 b=11.7642 c=8.3230 alpha=90.00 beta=91.78 gamma=90.00
Space group C2/m (No. 12)
Inequivalent atoms, fractional coordinates:
Nb1 0.1228 0.0000 0.2073 (multiplicity 4)
Br1 0.0000 0.0000 0.5000 (multiplicity 2)
Cl1 0.0778 0.1945 0.2114 (multiplicity 8)
Cl2 0.1145 0.5000 0.7103 (multiplicity 4)
Cl3 0.1822 0.0000 0.9258 (multiplicity 4)

final energy	-98.4	eV/cell
formation energy (no corrections)	-1.15	eV per atom
Fermi-level density of states	0.07	states/eV/atom
total moment	1.03	μB/f.u.

A plane-wave DFT calculation with PBE was carried out for a relaxed structure of Nb2BrCl4.

Unit cell a=9.0660 b=16.2035 c=9.0856 alpha=90.00 beta=90.00 gamma=90.00
Space group Fdd2 (No. 43)
Inequivalent atoms, fractional coordinates:
Nb1 0.0617 0.0834 0.0000 (multiplicity 16)
Br1 0.0000 0.0000 0.2434 (multiplicity 8)
Cl1 0.0454 0.2018 0.2051 (multiplicity 16)
Cl2 0.0597 0.1004 0.7298 (multiplicity 16)

final energy	-283.3	eV/cell
formation energy (no corrections)	-0.89	eV per atom
Fermi-level density of states	0.52	states/eV/atom
total moment	0.00	μB/f.u.

A plane-wave DFT calculation with PBE was carried out for a relaxed structure of Nb2BrCl.

Unit cell a=6.4852 b=6.4852 c=6.4852 alpha=90.00 beta=90.00 gamma=90.00
Space group Fm-3m (No. 225)
Inequivalent atoms, fractional coordinates:
Nb1 0.2500 0.2500 0.2500 (multiplicity 8)
Br1 0.0000 0.0000 0.0000 (multiplicity 4)
Cl1 0.0000 0.0000 0.5000 (multiplicity 4)

final energy	-85.9	eV/cell
formation energy (no corrections)	0.55	eV per atom
energy relative to the lowest polymorph listed for this composition	373.1	meV/atom
Fermi-level density of states	1.59	states/eV/atom
total moment	0.00	μB/f.u.

A plane-wave DFT calculation with PBE was carried out for a relaxed structure of Nb2Br4Cl.

Unit cell a=7.1294 b=7.3263 c=9.1695 alpha=112.43 beta=93.29 gamma=106.14
Space group P1 (No. 1)
Inequivalent atoms, fractional coordinates:
Nb1 0.0000 0.0000 0.0000 (multiplicity 1)
Nb2 0.0424 0.9321 0.2787 (multiplicity 1)
Nb3 0.7562 0.0447 0.4831 (multiplicity 1)
Nb4 0.9139 0.3724 0.7587 (multiplicity 1)
Br1 0.1319 0.7425 0.7719 (multiplicity 1)
Br2 0.1496 0.3761 0.9931 (multiplicity 1)
Br3 0.1612 0.2109 0.5873 (multiplicity 1)
Br4 0.3350 0.1587 0.1960 (multiplicity 1)
Br5 0.3585 0.8159 0.3677 (multiplicity 1)
Br6 0.6880 0.0164 0.7763 (multiplicity 1)
Br7 0.7706 0.6466 0.0039 (multiplicity 1)
Br8 0.8288 0.6892 0.3997 (multiplicity 1)
Cl1 0.6348 0.3557 0.5844 (multiplicity 1)
Cl2 0.8530 0.1687 0.2583 (multiplicity 1)

final energy	-67.8	eV/cell
formation energy (no corrections)	-0.75	eV per atom
Fermi-level density of states	0.64	states/eV/atom
total moment	1.10	μB/f.u.

A plane-wave DFT calculation with PBE was carried out for a relaxed structure of Nb3Br7Cl.

Unit cell a=12.3682 b=7.1403 c=9.5046 alpha=90.00 beta=129.91 gamma=90.00
Space group Cm (No. 8)
Inequivalent atoms, fractional coordinates:
Nb1 0.0000 0.0000 0.0000 (multiplicity 2)
Nb2 0.2982 0.2980 0.0001 (multiplicity 4)
Br1 0.0802 0.5000 0.7565 (multiplicity 2)
Br2 0.1042 0.0000 0.8083 (multiplicity 2)
Br3 0.2130 0.2531 0.2001 (multiplicity 4)
Br4 0.3277 0.2524 0.7561 (multiplicity 4)
Br5 0.4659 0.0000 0.1998 (multiplicity 2)
Cl1 0.4886 0.5000 0.2498 (multiplicity 2)

final energy	-108.5	eV/cell
formation energy (no corrections)	-0.95	eV per atom
Fermi-level density of states	0.13	states/eV/atom
total moment	1.04	μB/f.u.

A plane-wave DFT calculation with PBE was carried out for a relaxed structure of NbBrCl.

Unit cell a=4.8135 b=5.0566 c=7.2821 alpha=91.60 beta=100.25 gamma=90.00
Space group P-1 (No. 2)
Inequivalent atoms, fractional coordinates:
Nb1 0.0269 0.2027 0.0998 (multiplicity 2)
Br1 0.0743 0.7411 0.2728 (multiplicity 2)
Cl1 0.4550 0.7318 0.8330 (multiplicity 2)

final energy	-30.5	eV/cell
formation energy (no corrections)	-0.55	eV per atom
energy relative to the lowest polymorph listed for this composition	121.7	meV/atom
Fermi-level density of states	0.45	states/eV/atom
total moment	0.00	μB/f.u.

A plane-wave DFT calculation with PBE was carried out for a relaxed structure of NbBrCl.

Unit cell a=7.9045 b=14.6571 c=3.4738 alpha=90.00 beta=90.00 gamma=90.00
Space group Pbcm (No. 57)
Inequivalent atoms, fractional coordinates:
Nb1 0.1286 0.1784 0.2500 (multiplicity 4)
Br1 0.1103 0.6318 0.7500 (multiplicity 4)
Cl1 0.3937 0.1170 0.2500 (multiplicity 4)

final energy	-62.4	eV/cell
formation energy (no corrections)	-0.67	eV per atom
energy relative to the lowest polymorph listed for this composition	0.0	meV/atom
Fermi-level density of states	0.59	states/eV/atom
total moment	0.00	μB/f.u.

A plane-wave DFT calculation with PBE was carried out for a relaxed structure of NbBrCl.

Unit cell a=5.2716 b=7.0753 c=7.2693 alpha=66.11 beta=68.83 gamma=68.20
Space group P1 (No. 1)
Inequivalent atoms, fractional coordinates:
Nb1 0.0000 0.0000 0.0000 (multiplicity 1)
Nb2 0.4320 0.9998 0.0001 (multiplicity 1)
Br1 0.2231 0.2947 0.6912 (multiplicity 1)
Br2 0.7083 0.7249 0.2907 (multiplicity 1)
Cl1 0.0151 0.1305 0.2728 (multiplicity 1)
Cl2 0.4136 0.6956 0.9073 (multiplicity 1)

final energy	-30.0	eV/cell
formation energy (no corrections)	-0.46	eV per atom
energy relative to the lowest polymorph listed for this composition	203.6	meV/atom
total moment	0.00	μB/f.u.

A plane-wave DFT calculation with PBE was carried out for a relaxed structure of Nb3BrCl7.

Unit cell a=11.8972 b=6.8683 c=9.3417 alpha=90.00 beta=129.34 gamma=90.00
Space group Cm (No. 8)
Inequivalent atoms, fractional coordinates:
Nb1 0.0000 0.0000 0.0000 (multiplicity 2)
Nb2 0.2079 0.2078 0.0001 (multiplicity 4)
Br1 0.0002 0.0000 0.7219 (multiplicity 2)
Cl1 0.0463 0.5000 0.8157 (multiplicity 2)
Cl2 0.1707 0.2446 0.2285 (multiplicity 4)
Cl3 0.2969 0.2493 0.8154 (multiplicity 4)
Cl4 0.3991 0.5000 0.1886 (multiplicity 2)
Cl5 0.4152 0.0000 0.2287 (multiplicity 2)

final energy	-116.7	eV/cell
formation energy (no corrections)	-1.23	eV per atom
Fermi-level density of states	0.13	states/eV/atom
total moment	1.02	μB/f.u.

A plane-wave DFT calculation with PBE was carried out for a relaxed structure of Nb3Br7Cl.

Unit cell a=7.1394 b=7.1394 c=7.2222 alpha=90.00 beta=90.00 gamma=120.00
Space group P3m1 (No. 156)
Inequivalent atoms, fractional coordinates:
Nb1 0.0641 0.5321 0.0000 (multiplicity 3)
Br1 0.1681 0.3361 0.7540 (multiplicity 3)
Br2 0.3292 0.1646 0.2020 (multiplicity 3)
Br3 0.6667 0.3333 0.8066 (multiplicity 1)
Cl1 0.3333 0.6667 0.2519 (multiplicity 1)

final energy	-54.3	eV/cell
formation energy (no corrections)	-0.95	eV per atom
Fermi-level density of states	0.12	states/eV/atom
total moment	1.04	μB/f.u.

A plane-wave DFT calculation with PBE was carried out for a relaxed structure of NbBr2Cl3.

Unit cell a=4.9999 b=7.5406 c=13.3096 alpha=90.00 beta=90.00 gamma=90.00
Space group Imm2 (No. 44)
Inequivalent atoms, fractional coordinates:
Nb1 0.0000 0.0000 0.0000 (multiplicity 2)
Br1 0.0000 0.2339 0.8676 (multiplicity 4)
Cl1 0.0000 0.2192 0.1242 (multiplicity 4)
Cl2 0.0000 0.5000 0.5034 (multiplicity 2)

final energy	-49.7	eV/cell
formation energy (no corrections)	-0.98	eV per atom
total moment	0.00	μB/f.u.

A plane-wave DFT calculation with PBE was carried out for a relaxed structure of Nb2BrCl.

Unit cell a=4.3096 b=4.3096 c=17.1238 alpha=90.00 beta=90.00 gamma=90.00
Space group I-42d (No. 122)
Inequivalent atoms, fractional coordinates:
Nb1 0.2308 0.2500 0.1250 (multiplicity 8)
Br1 0.0000 0.0000 0.5000 (multiplicity 4)
Cl1 0.0000 0.0000 0.0000 (multiplicity 4)

final energy	-91.8	eV/cell
formation energy (no corrections)	0.18	eV per atom
energy relative to the lowest polymorph listed for this composition	0.0	meV/atom
Fermi-level density of states	0.47	states/eV/atom
total moment	0.00	μB/f.u.

A plane-wave DFT calculation with PBE was carried out for a relaxed structure of NbBr3Cl2.

Unit cell a=16.5128 b=3.5299 c=12.5765 alpha=90.00 beta=90.00 gamma=90.00
Space group Pnma (No. 62)
Inequivalent atoms, fractional coordinates:
Nb1 0.1235 0.2500 0.2038 (multiplicity 4)
Br1 0.0374 0.2500 0.4020 (multiplicity 4)
Br2 0.1294 0.7500 0.0331 (multiplicity 4)
Br3 0.1919 0.7500 0.3348 (multiplicity 4)
Cl1 0.0070 0.7500 0.2023 (multiplicity 4)
Cl2 0.2373 0.7500 0.6489 (multiplicity 4)

final energy	-90.6	eV/cell
formation energy (no corrections)	-0.65	eV per atom
Fermi-level density of states	0.52	states/eV/atom
total moment	0.00	μB/f.u.

A plane-wave DFT calculation with PBE was carried out for a relaxed structure of NbPBrCl2.

Unit cell a=4.7835 b=4.7835 c=5.1193 alpha=90.00 beta=90.00 gamma=90.00
Space group P4/mmm (No. 123)
Inequivalent atoms, fractional coordinates:
Nb1 0.0000 0.0000 0.0000 (multiplicity 1)
P1 0.0000 0.0000 0.5000 (multiplicity 1)
Br1 0.5000 0.5000 0.5000 (multiplicity 1)
Cl1 0.0000 0.5000 0.0000 (multiplicity 2)

final energy	-22.2	eV/cell
formation energy (no corrections)	-0.26	eV per atom
energy relative to the lowest polymorph listed for this composition	0.0	meV/atom
Fermi-level density of states	0.78	states/eV/atom
total moment	0.00	μB/f.u.